First-principles (PBE-GGA) data for AlTlBr4 after structural relaxation, as listed in the Alexandria database.

Geometry as POSCAR:
```
AlTlBr4
1.0
9.1513 0.0000 0.0000
0.0000 7.7230 0.0000
-3.1884 0.0000 13.0415
Al Tl Br
4 4 16
direct
0.2152 0.2148 0.4504 Al
0.2152 0.7852 0.9504 Al
0.7848 0.2148 0.0496 Al
0.7848 0.7852 0.5496 Al
0.0000 0.3945 0.7500 Tl
0.0000 0.6055 0.2500 Tl
0.5000 0.0817 0.2500 Tl
0.5000 0.9183 0.7500 Tl
0.0411 0.2709 0.1009 Br
0.0411 0.7291 0.6009 Br
0.2754 0.0636 0.9068 Br
0.2754 0.9364 0.4068 Br
0.2908 0.2488 0.6287 Br
0.2908 0.7512 0.1287 Br
0.3426 0.4131 0.3702 Br
0.3426 0.5869 0.8702 Br
0.6574 0.4131 0.1298 Br
0.6574 0.5869 0.6298 Br
0.7092 0.2488 0.8713 Br
0.7092 0.7512 0.3713 Br
0.7246 0.0636 0.5932 Br
0.7246 0.9364 0.0932 Br
0.9589 0.2709 0.3991 Br
0.9589 0.7291 0.8991 Br
```

The value obtained for the formation energy (no corrections) is -1.086 eV per atom. As for the density of states at the Fermi level: 0.00 states/eV/cell. The calculation puts the offset from the most stable computed form at 0 meV/atom. The volume is 38.405 Å³ per atom. For the total energy, the calculation gives -77.27 eV/cell.